# 1
The following is a GGA-PBE calculation of a relaxed structure of La2HgSb3Rh4, from Alexandria.

Geometry as CIF:
```
data_La2HgSb3Rh4
_chemical_formula_sum 'La2 Hg1 Sb3 Rh4'
_symmetry_space_group_name_H-M 'P -4 m 2'
_symmetry_Int_Tables_number 115
_symmetry_space_group_name_Hall 'P -4 -2'
_cell_length_a 4.490
_cell_length_b 4.490
_cell_length_c 10.926
_cell_angle_alpha 90.00
_cell_angle_beta 90.00
_cell_angle_gamma 90.00
loop_
_atom_site_label
_atom_site_type_symbol
_atom_site_fract_x
_atom_site_fract_y
_atom_site_fract_z
La1 La 0.000 0.500 0.247
Hg1 Hg 0.500 0.500 0.000
Sb1 Sb 0.000 0.000 0.000
Sb2 Sb 0.000 0.500 0.629
Rh1 Rh 0.000 0.000 0.500
Rh2 Rh 0.000 0.500 0.862
Rh3 Rh 0.500 0.500 0.500
```

Results
The value obtained for the total energy is -5.942 eV/atom. The calculation puts the raw formation energy at -7.5 eV/f.u.

=====

# 2
The following is a GGA-PBE calculation of a relaxed structure of LaSiHg2Rh, from Alexandria.

Geometry as CIF:
```
data_LaSiHg2Rh
_chemical_formula_sum 'La1 Si1 Hg2 Rh1'
_symmetry_space_group_name_H-M 'P 4/m m m'
_symmetry_Int_Tables_number 123
_symmetry_space_group_name_Hall '-P 4 2'
_cell_length_a 4.804
_cell_length_b 4.804
_cell_length_c 5.855
_cell_angle_alpha 90.00
_cell_angle_beta 90.00
_cell_angle_gamma 90.00
loop_
_atom_site_label
_atom_site_type_symbol
_atom_site_fract_x
_atom_site_fract_y
_atom_site_fract_z
La1 La 0.000 0.000 0.000
Si1 Si 0.000 0.000 0.500
Hg1 Hg 0.000 0.500 0.500
Rh1 Rh 0.500 0.500 0.000
```

Results
The value obtained for the total energy is -3.254 eV/atom. The calculation puts the raw formation energy at 2.0 eV/f.u.

=====

# 3
The following is a GGA-PBE calculation of a relaxed structure of LaSn2HgRh, from Alexandria.

Geometry as CIF:
```
data_LaSn2HgRh
_chemical_formula_sum 'La1 Sn2 Hg1 Rh1'
_symmetry_space_group_name_H-M 'P 4/m m m'
_symmetry_Int_Tables_number 123
_symmetry_space_group_name_Hall '-P 4 2'
_cell_length_a 6.181
_cell_length_b 6.181
_cell_length_c 4.824
_cell_angle_alpha 90.00
_cell_angle_beta 90.00
_cell_angle_gamma 90.00
loop_
_atom_site_label
_atom_site_type_symbol
_atom_site_fract_x
_atom_site_fract_y
_atom_site_fract_z
La1 La 0.000 0.000 0.000
Sn1 Sn 0.000 0.500 0.000
Hg1 Hg 0.500 0.500 0.500
Rh1 Rh 0.000 0.000 0.500
```

Results
The value obtained for the total energy is -3.431 eV/atom. The value obtained for the formation energy is 0.686 eV/atom.

=====

# 4
The following is a GGA-PBE calculation of a relaxed structure of La2SnHgRh, from Alexandria.

Geometry as CIF:
```
data_La2SnHgRh
_chemical_formula_sum 'La4 Sn2 Hg2 Rh2'
_symmetry_space_group_name_H-M 'P 1 21/m 1'
_symmetry_Int_Tables_number 11
_symmetry_space_group_name_Hall '-P 2yb'
_cell_length_a 7.981
_cell_length_b 4.450
_cell_length_c 8.173
_cell_angle_alpha 90.00
_cell_angle_beta 110.61
_cell_angle_gamma 90.00
loop_
_atom_site_label
_atom_site_type_symbol
_atom_site_fract_x
_atom_site_fract_y
_atom_site_fract_z
La1 La 0.031 0.250 0.218
La2 La 0.337 0.750 0.613
Sn1 Sn 0.338 0.250 0.951
Hg1 Hg 0.325 0.750 0.199
Rh1 Rh 0.099 0.250 0.618
```

Results
The value obtained for the total energy is -4.981 eV/atom. The calculation puts the energy above the most stable polymorph in this dataset at 0.00 eV/f.u. The value obtained for the formation energy is -0.679 eV/atom.

=====

# 5
The following is a GGA-PBE calculation of a relaxed structure of LaSnHgRh2, from Alexandria.

Geometry as CIF:
```
data_LaSnHgRh2
_chemical_formula_sum 'La1 Sn1 Hg1 Rh2'
_symmetry_space_group_name_H-M 'P 4/m m m'
_symmetry_Int_Tables_number 123
_symmetry_space_group_name_Hall '-P 4 2'
_cell_length_a 4.918
_cell_length_b 4.918
_cell_length_c 5.964
_cell_angle_alpha 90.00
_cell_angle_beta 90.00
_cell_angle_gamma 90.00
loop_
_atom_site_label
_atom_site_type_symbol
_atom_site_fract_x
_atom_site_fract_y
_atom_site_fract_z
La1 La 0.000 0.000 0.000
Sn1 Sn 0.500 0.500 0.500
Hg1 Hg 0.000 0.000 0.500
Rh1 Rh 0.000 0.500 0.000
```

Results
The value obtained for the total energy is -4.138 eV/atom. The calculation puts the energy above the most stable polymorph in this dataset at 0.78 eV/f.u. The value obtained for the formation energy is 0.649 eV/atom.

=====

# 6
The following is a GGA-PBE calculation of a relaxed structure of LaSnHgRh2, from Alexandria.

Geometry as CIF:
```
data_LaSnHgRh2
_chemical_formula_sum 'La1 Sn1 Hg1 Rh2'
_symmetry_space_group_name_H-M 'P 4/m m m'
_symmetry_Int_Tables_number 123
_symmetry_space_group_name_Hall '-P 4 2'
_cell_length_a 4.915
_cell_length_b 4.915
_cell_length_c 5.981
_cell_angle_alpha 90.00
_cell_angle_beta 90.00
_cell_angle_gamma 90.00
loop_
_atom_site_label
_atom_site_type_symbol
_atom_site_fract_x
_atom_site_fract_y
_atom_site_fract_z
La1 La 0.000 0.000 0.000
Sn1 Sn 0.000 0.000 0.500
Hg1 Hg 0.500 0.500 0.000
Rh1 Rh 0.000 0.500 0.500
```

Results
The value obtained for the total energy is -4.294 eV/atom. The calculation puts the energy above the most stable polymorph in this dataset at 0.00 eV/f.u. The value obtained for the formation energy is 0.493 eV/atom.

=====

We obtain total magnetization values of 0.00, 0.00, 0.00, 0.00, 0.00, 0.00 Bohr magnetons per cell for the records listed above, in that order.